# 1
VASP calculation (GGA-PBE) on BaTcIr after structural relaxation.

a = 5.390 Å, b = 5.390 Å, c = 9.222 Å
α = 90.00°, β = 90.00°, γ = 120.00°
Sites, in units of the cell vectors:
Ba (0.333, 0.667, 0.250)
Ba (0.667, 0.333, 0.750)
Tc (0.000, 0.000, 0.250)
Tc (0.000, 0.000, 0.750)
Ir (0.000, 0.000, 0.000)
Ir (0.000, 0.000, 0.500)

- uncorrected energy (eV/atom) = -5.6546
- calculated formation energy (eV/atom) = 1.395
- energy above the lowest structure with this stoichiometry (meV per atom) = 1312
- total moment (μB/cell) = 3.25



# 2
VASP calculation (GGA-PBE) on Tm3PaRu4 after structural relaxation.

a = 7.523 Å, b = 7.523 Å, c = 4.778 Å
α = 107.79°, β = 107.79°, γ = 37.03°
Sites, in units of the cell vectors:
Tm (0.000, 0.000, 0.000)
Tm (0.247, 0.247, 0.247)
Tm (0.753, 0.753, 0.753)
Pa (0.500, 0.500, 0.500)
Ru (0.118, 0.118, 0.618)
Ru (0.382, 0.382, 0.875)
Ru (0.618, 0.618, 0.125)
Ru (0.882, 0.882, 0.382)

- uncorrected energy (eV/atom) = -8.0604
- calculated formation energy (eV/atom) = -0.559
- total moment (μB/cell) = 0.00